Record 1
Compound: BH2RhI
Source: the Alexandria database
Functional: PBE
Structure: optimized geometry

Values from the calculation:
- Calculated volume: 15.93 Å³ per atom
- Total energy: -16.200 eV per cell

abc: 3.436 3.436 6.744
angles: 90.00 90.00 90.00
Space group P4/mmm (No. 123)
Asymmetric unit:
B: 0.000 0.000 0.000 [1 per cell]
H: 0.000 0.500 0.500 [2 per cell]
Rh: 0.500 0.500 0.000 [1 per cell]
I: 0.000 0.000 0.500 [1 per cell]

Record 2
Compound: Pa2ZnCo5
Source: the Alexandria database
Functional: PBE
Structure: optimized geometry

Values from the calculation:
- Calculated volume: 14.52 Å³ per atom
- Total energy: -115.673 eV per cell

abc: 5.645 5.645 7.292
angles: 90.00 90.00 90.00
Space group I4mm (No. 107)
Asymmetric unit:
Pa: 0.000 0.500 0.000 [4 per cell]
Zn: 0.000 0.000 0.377 [2 per cell]
Co: 0.000 0.000 0.002 [2 per cell]
Co: 0.226 0.226 0.738 [8 per cell]

Record 3
Compound: BC2
Source: the Alexandria database
Functional: PBE
Structure: optimized geometry

Values from the calculation:
- ΔE to the lowest computed polymorph: 0.083 eV per atom
- Calculated volume: 6.38 Å³ per atom
- Total energy: -96.627 eV per cell

abc: 3.911 2.504 7.816
angles: 90.00 90.54 90.00
Space group P2_1/m (No. 11)
Asymmetric unit:
B: 0.125 0.250 0.165 [2 per cell]
B: 0.160 0.250 0.493 [2 per cell]
C: 0.154 0.250 0.837 [2 per cell]
C: 0.385 0.250 0.996 [2 per cell]
C: 0.386 0.250 0.680 [2 per cell]
C: 0.398 0.250 0.331 [2 per cell]

Record 4
Compound: AcNdSbPd
Source: the Alexandria database
Functional: PBE
Structure: optimized geometry

Values from the calculation:
- Calculated volume: 28.99 Å³ per atom
- Total energy: -84.548 eV per cell
- E_form (uncorrected): -0.736 eV per atom

abc: 7.741 7.741 7.741
angles: 90.00 90.00 90.00
Space group F-43m (No. 216)
Asymmetric unit:
Ac: 0.000 0.000 0.000 [4 per cell]
Nd: 0.000 0.000 0.500 [4 per cell]
Sb: 0.250 0.250 0.250 [4 per cell]
Pd: 0.250 0.250 0.750 [4 per cell]

Record 5
Compound: Sn2P2Pt
Source: the Alexandria database
Functional: PBE
Structure: optimized geometry

Values from the calculation:
- Calculated volume: 21.08 Å³ per atom
- Total energy: -51.659 eV per cell

abc: 6.041 6.041 5.775
angles: 90.00 90.00 90.00
Space group P4/mbm (No. 127)
Asymmetric unit:
Sn: 0.189 0.311 0.000 [4 per cell]
P: 0.130 0.370 0.500 [4 per cell]
Pt: 0.000 0.000 0.500 [2 per cell]

Record 6
Compound: Tm3Tl5
Source: the Alexandria database
Functional: PBE
Structure: optimized geometry

Values from the calculation:
- Calculated volume: 26.52 Å³ per atom
- Total energy: -108.248 eV per cell

abc: 10.051 8.031 10.513
angles: 90.00 90.00 90.00
Space group Cmcm (No. 63)
Asymmetric unit:
Tm: 0.000 0.095 0.250 [4 per cell]
Tm: 0.211 0.500 0.000 [8 per cell]
Tl: 0.000 0.203 0.533 [8 per cell]
Tl: 0.000 0.496 0.250 [4 per cell]
Tl: 0.226 0.216 0.750 [8 per cell]